Material: Tm2Zn7Ag
Method: DFT, PBE
State: optimized geometry

a = 4.075 Å, b = 4.075 Å, c = 10.988 Å
α = 90.00°, β = 90.00°, γ = 90.00°
Positions (direct):
Tm1 0.000 0.500 0.241
Tm2 0.500 0.000 0.759
Zn1 0.000 0.000 0.000
Zn2 0.000 0.500 0.647
Zn3 0.000 0.500 0.865
Zn4 0.500 0.000 0.135
Zn5 0.500 0.000 0.353
Zn6 0.500 0.500 0.000
Zn7 0.500 0.500 0.500
Ag1 0.000 0.000 0.500

Values from the calculation:
**D(E_F)**: 3.5 states/eV per cell
**Crystal system**: tetragonal
**Total moment**: 0.00 μB/f.u.



Material: CaSmY
Method: DFT, PBE
State: optimized geometry

a = 32.488 Å, b = 3.632 Å, c = 3.688 Å
α = 90.00°, β = 90.05°, γ = 90.00°
Positions (direct):
Ca1 0.051 0.000 0.249
Ca2 0.449 0.500 0.751
Ca3 0.551 0.500 0.249
Ca4 0.949 0.000 0.751
Sm1 0.210 0.000 0.249
Sm2 0.290 0.500 0.751
Sm3 0.710 0.500 0.249
Sm4 0.790 0.000 0.751
Y1 0.135 0.500 0.749
Y2 0.365 0.000 0.251
Y3 0.635 0.000 0.749
Y4 0.865 0.500 0.251

Values from the calculation:
**D(E_F)**: 18.1 states/eV per cell
**Crystal system**: monoclinic
**Total moment**: 0.00 μB/f.u.



Material: Mg4Si7
Method: DFT, PBE
State: optimized geometry

a = 4.379 Å, b = 6.824 Å, c = 13.718 Å
α = 94.13°, β = 91.95°, γ = 93.38°
Positions (direct):
Mg1 0.000 0.000 0.000
Mg2 0.000 0.031 0.728
Mg3 0.017 0.631 0.834
Mg4 0.019 0.631 0.578
Mg5 0.428 0.102 0.321
Mg6 0.463 0.578 0.270
Mg7 0.536 0.345 0.678
Mg8 0.979 0.143 0.506
Si1 0.341 0.380 0.953
Si2 0.416 0.259 0.114
Si3 0.459 0.947 0.858
Si4 0.466 0.905 0.135
Si5 0.474 0.971 0.601
Si6 0.492 0.418 0.468
Si7 0.510 0.779 0.452
Si8 0.533 0.720 0.983
Si9 0.538 0.729 0.717
Si10 0.781 0.266 0.874
Si11 0.936 0.389 0.178
Si12 0.958 0.408 0.361
Si13 0.969 0.763 0.191
Si14 0.998 0.788 0.370

Values from the calculation:
**D(E_F)**: 8.0 states/eV per cell
**Crystal system**: triclinic
**Formation energy from raw total energies**: 0.14 eV/atom
**Total moment**: 0.00 μB/f.u.



Material: CoMo2
Method: DFT, PBE
State: optimized geometry

a = 2.716 Å, b = 2.716 Å, c = 6.760 Å
α = 90.00°, β = 90.00°, γ = 120.00°
Positions (direct):
Co1 0.000 0.000 0.000
Mo1 0.333 0.667 0.315
Mo2 0.667 0.333 0.685

Values from the calculation:
**D(E_F)**: 3.7 states/eV per cell
**Crystal system**: trigonal
**Total moment**: 0.96 μB/f.u.



Material: NdCo2Si2
Method: DFT, PBE
State: optimized geometry

a = 3.937 Å, b = 3.937 Å, c = 10.013 Å
α = 90.00°, β = 90.00°, γ = 90.00°
Positions (direct):
Nd1 0.000 0.000 0.000
Nd2 0.500 0.500 0.500
Co1 0.000 0.500 0.250
Co2 0.000 0.500 0.750
Co3 0.500 0.000 0.250
Co4 0.500 0.000 0.750
Si1 0.000 0.000 0.367
Si2 0.000 0.000 0.633
Si3 0.500 0.500 0.133
Si4 0.500 0.500 0.867

Values from the calculation:
**D(E_F)**: 6.4 states/eV per cell
**Crystal system**: tetragonal
**Formation energy from raw total energies**: -0.76 eV/atom
**Total moment**: 0.00 μB/f.u.



Material: MgPa2BO8
Method: DFT, PBE
State: optimized geometry

a = 4.896 Å, b = 4.896 Å, c = 6.464 Å
α = 90.00°, β = 90.00°, γ = 120.00°
Positions (direct):
Mg1 0.000 0.000 0.000
Pa1 0.333 0.667 0.339
Pa2 0.667 0.333 0.661
B1 0.000 0.000 0.500
O1 0.159 0.319 0.657
O2 0.159 0.841 0.657
O3 0.319 0.159 0.343
O4 0.333 0.667 0.044
O5 0.667 0.333 0.956
O6 0.681 0.841 0.657
O7 0.841 0.159 0.343
O8 0.841 0.681 0.343

Values from the calculation:
**D(E_F)**: 3.2 states/eV per cell
**Crystal system**: trigonal
**Formation energy from raw total energies**: -2.36 eV/atom
**Total moment**: 0.00 μB/f.u.



So what do the calculations give for calculated total energy? Going down the list: -2.32 -4.32 -3.89 -9.30 -6.72 -7.93 eV per atom.